--- a ---
Entry from the Alexandria database: crystalline PmNd12Er7 at its relaxed geometry (GGA-PBE).

V ... 693.78 Å³ per cell
Crystal system ... trigonal

```
PmNd12Er7
1.0
9.830 5.676 2.072
-9.830 5.676 2.072
0.000 -11.351 2.072
Pm Nd Er
1 12 7
Cartesian
0.000 0.000 0.000
-3.485 -1.993 1.867
-8.111 0.009 3.103
-4.063 -7.019 3.115
3.468 -2.022 1.867
0.017 4.014 1.867
4.047 -7.029 3.103
-4.047 7.029 3.115
-0.017 -4.014 4.350
-3.468 2.022 4.350
4.063 7.019 3.103
8.111 -0.009 3.115
3.485 1.993 4.350
-0.018 -2.779 1.290
-2.397 1.405 1.290
2.415 1.374 1.290
0.000 0.000 3.109
-2.415 -1.374 4.927
2.397 -1.405 4.927
0.018 2.779 4.927
```

***

--- b ---
Entry from the Alexandria database: crystalline PmNd12Er7 at its relaxed geometry (GGA-PBE).

V ... 680.64 Å³ per cell
Crystal system ... trigonal

```
PmNd12Er7
1.0
7.624 4.402 3.380
-7.624 4.402 3.380
0.000 -8.803 3.380
Pm Nd Er
1 12 7
Cartesian
0.000 0.000 0.000
-2.715 -0.583 2.553
-1.178 -3.279 4.291
1.863 -2.060 2.553
-3.429 -0.619 5.850
-2.251 2.660 4.291
0.853 2.643 2.553
-0.853 -2.643 7.589
2.251 -2.660 5.850
3.429 0.619 4.291
-1.863 2.060 7.589
1.178 3.279 5.850
2.715 0.583 7.589
-2.374 -6.437 4.138
-6.762 -1.163 6.004
-4.388 5.274 4.138
0.000 0.000 5.071
4.388 -5.274 6.004
6.762 1.163 4.138
2.374 6.437 6.004
```

***

Most stable: b (next structure +0.098 eV/atom)

***

--- a ---
Entry from the Alexandria database: crystalline PmNdEr4 at its relaxed geometry (GGA-PBE).

V ... 190.83 Å³ per cell
Crystal system ... monoclinic

```
PmNdEr4
1.0
3.564 0.000 0.000
0.000 5.018 0.000
-0.057 0.000 10.670
Pm Nd Er
1 1 4
Cartesian
0.000 0.000 0.000
1.754 2.509 5.335
3.545 0.000 3.536
-0.037 0.000 7.134
1.774 2.509 1.785
1.734 2.509 8.885
```

***

--- b ---
Entry from the Alexandria database: crystalline PmNdEr4 at its relaxed geometry (GGA-PBE).

V ... 396.25 Å³ per cell
Crystal system ... monoclinic

```
PmNdEr4
1.0
3.502 -9.717 0.000
3.502 9.717 0.000
-0.005 0.000 5.823
Pm Nd Er
2 2 8
Cartesian
3.498 8.683 4.367
3.501 -8.683 1.456
3.501 1.037 1.456
3.498 -1.037 4.367
1.749 4.070 1.456
1.746 2.181 4.367
1.748 -2.181 1.455
1.746 -4.070 4.367
5.252 4.070 1.456
5.251 2.181 4.367
5.253 -2.181 1.456
5.250 -4.070 4.367
```

***

Most stable: a (next structure +0.165 eV/atom)

***

--- a ---
Entry from the Alexandria database: crystalline Pm2NdEr4 at its relaxed geometry (GGA-PBE).

V ... 454.71 Å³ per cell
Crystal system ... triclinic

```
Pm2NdEr4
1.0
6.037 0.000 0.000
3.006 7.984 0.000
2.959 -0.193 9.434
Pm Nd Er
4 2 8
Cartesian
0.000 0.000 0.000
3.927 7.378 3.423
4.153 3.895 4.715
3.884 0.416 6.004
3.250 4.510 1.296
9.241 3.285 8.138
6.474 5.018 7.303
3.699 1.109 2.585
6.032 1.506 8.687
6.081 6.282 0.743
7.125 5.605 3.974
7.099 2.189 5.471
6.531 2.777 2.131
9.664 6.679 6.836
```

***

--- b ---
Entry from the Alexandria database: crystalline Pm2NdEr4 at its relaxed geometry (GGA-PBE).

V ... 227.54 Å³ per cell
Crystal system ... monoclinic

```
Pm2NdEr4
1.0
3.131 -1.809 0.000
3.131 1.809 0.000
-2.094 0.000 20.087
Pm Nd Er
2 1 4
Cartesian
0.000 0.000 0.000
-0.006 0.000 5.757
0.002 0.000 11.539
-0.001 0.000 17.202
2.087 0.000 2.892
4.169 0.000 8.621
4.176 0.000 14.448
```

***

Most stable: b (next structure +0.061 eV/atom)

***

--- a ---
Entry from the Alexandria database: crystalline Pm4Nd2Er3 at its relaxed geometry (GGA-PBE).

V ... 303.65 Å³ per cell
Crystal system ... monoclinic

```
Pm4Nd2Er3
1.0
9.006 -1.778 0.000
9.006 1.778 0.000
-2.354 0.000 9.483
Pm Nd Er
4 2 3
Cartesian
-0.188 0.000 1.723
3.908 0.000 9.225
11.750 0.000 0.257
15.846 0.000 7.760
1.211 0.000 6.683
14.447 0.000 2.800
4.515 0.000 5.694
7.829 0.000 4.741
11.142 0.000 3.789
```

***

--- b ---
Entry from the Alexandria database: crystalline Pm4Nd2Er3 at its relaxed geometry (GGA-PBE).

V ... 305.05 Å³ per cell
Crystal system ... trigonal

```
Pm4Nd2Er3
1.0
3.624 0.000 0.000
-1.812 3.139 0.000
0.000 0.000 26.818
Pm Nd Er
4 2 3
Cartesian
0.000 0.000 0.000
0.000 0.000 5.686
0.000 2.092 8.708
0.000 2.092 14.448
0.000 0.000 17.500
0.000 0.000 23.224
0.000 0.000 11.581
0.000 2.092 2.799
0.000 2.092 20.406
```

***

Most stable: b (next structure +0.034 eV/atom)